Below is ZnH12C2N6Cl4 at its PBEsol-relaxed geometry, with properties calculated at the meta-GGA SCAN level.

Lattice parameters (Å, degrees): 7.133 7.395 12.670 76.42 79.86 78.55
Fractional coordinates of all 50 atoms:
Zn (0.943, 0.212, 0.224)
Zn (0.057, 0.788, 0.776)
H (0.223, 0.077, 0.528)
H (0.777, 0.923, 0.472)
H (0.207, 0.221, 0.395)
H (0.793, 0.779, 0.605)
H (0.247, 0.528, 0.358)
H (0.753, 0.472, 0.642)
H (0.250, 0.639, 0.467)
H (0.750, 0.361, 0.533)
H (0.257, 0.470, 0.639)
H (0.743, 0.530, 0.361)
H (0.183, 0.247, 0.674)
H (0.817, 0.753, 0.326)
H (0.334, 0.732, 0.140)
H (0.666, 0.268, 0.860)
H (0.539, 0.561, 0.111)
H (0.461, 0.439, 0.889)
H (0.837, 0.646, 0.062)
H (0.163, 0.354, 0.938)
H (0.882, 0.845, 0.099)
H (0.118, 0.155, 0.901)
H (0.608, 0.091, 0.125)
H (0.392, 0.909, 0.875)
H (0.383, 0.017, 0.173)
H (0.617, 0.983, 0.827)
C (0.237, 0.358, 0.511)
C (0.763, 0.642, 0.489)
C (0.597, 0.819, 0.117)
C (0.403, 0.181, 0.883)
N (0.210, 0.209, 0.477)
N (0.790, 0.791, 0.523)
N (0.254, 0.520, 0.439)
N (0.746, 0.480, 0.561)
N (0.250, 0.347, 0.617)
N (0.750, 0.653, 0.383)
N (0.480, 0.694, 0.124)
N (0.520, 0.306, 0.876)
N (0.785, 0.774, 0.083)
N (0.215, 0.226, 0.917)
N (0.526, 0.985, 0.144)
N (0.474, 0.015, 0.856)
Cl (0.729, 0.221, 0.378)
Cl (0.271, 0.779, 0.622)
Cl (0.062, 0.901, 0.225)
Cl (0.938, 0.099, 0.775)
Cl (0.789, 0.324, 0.075)
Cl (0.211, 0.676, 0.925)
Cl (0.192, 0.357, 0.219)
Cl (0.808, 0.643, 0.781)

theoretical density = 1.7 g/cm3
space-group type = P-1, No. 2
DOS(E_F) = 0.000 states/eV/atom
crystal system = triclinic
DFT total energy = -7.0897 eV per atom

Below is H2Pb4CCl6O4 at its PBEsol-relaxed geometry, with properties calculated at the meta-GGA SCAN level.

Lattice parameters (Å, degrees): 4.164 9.116 16.382 90.00 91.89 90.00
Fractional coordinates of all 34 atoms:
C (0.416, 0.250, 0.245)
C (0.584, 0.750, 0.755)
Cl (0.290, 0.750, 0.218)
Cl (0.710, 0.250, 0.782)
Cl (0.770, 0.532, 0.087)
Cl (0.230, 0.032, 0.913)
Cl (0.230, 0.468, 0.913)
Cl (0.770, 0.968, 0.087)
Cl (0.742, 0.750, 0.395)
Cl (0.258, 0.250, 0.605)
Cl (0.763, 0.549, 0.586)
Cl (0.237, 0.049, 0.414)
Cl (0.237, 0.451, 0.414)
Cl (0.763, 0.951, 0.586)
H (0.759, 0.665, 0.894)
H (0.241, 0.165, 0.106)
H (0.241, 0.335, 0.106)
H (0.759, 0.835, 0.894)
O (0.679, 0.250, 0.290)
O (0.321, 0.750, 0.710)
O (0.756, 0.750, 0.933)
O (0.244, 0.250, 0.067)
O (0.298, 0.374, 0.220)
O (0.702, 0.874, 0.780)
O (0.702, 0.626, 0.780)
O (0.298, 0.126, 0.220)
Pb (0.260, 0.750, 0.034)
Pb (0.740, 0.250, 0.966)
Pb (0.249, 0.750, 0.515)
Pb (0.751, 0.250, 0.485)
Pb (0.813, 0.515, 0.267)
Pb (0.187, 0.015, 0.733)
Pb (0.187, 0.485, 0.733)
Pb (0.813, 0.985, 0.267)

theoretical density = 6.0 g/cm3
space-group type = P2_1/m, No. 11
DOS(E_F) = 0.000 states/eV/atom
crystal system = monoclinic
DFT total energy = -24.3938 eV per atom

| no. | magnetization (μB/f.u.) |
| --- | --- |
| 1 | 0.0 |
| 2 | 0.0 |